Density functional theory data (PBE) for crystalline Y2TlMo2 at its relaxed geometry.

- E_form: 1.0 eV per formula unit
- Spin magnetization: 0.00 μB per formula unit

a b c (Å): 9.932 9.932 9.932
angles (deg): 159.04 159.04 29.82
Atoms (fractional coordinates):
1 Y 0.116 0.116 0.000
2 Y 0.884 0.884 0.000
3 Tl 0.500 0.500 0.000
4 Mo 0.250 0.750 0.500
5 Mo 0.750 0.250 0.500